Record 1
Material: PmPu2Al9
Method: DFT, PBE
State: optimized geometry

It has space group R-3m (No. 166, hexagonal axes), with a = 5.5375 Å, b = 5.5375 Å, c = 26.5932 Å, α = 90.00°, β = 90.00° and γ = 120.00°. The distinct sites, in fractional coordinates, are Pm at (0.0000, 0.0000, 0.0000), Pu at (0.0000, 0.0000, 0.1441), Al at (0.0000, 0.0000, 0.3348), Al at (0.0000, 0.0000, 0.5000) and Al at (0.0056, 0.5028, 0.9166).

The value obtained for the formation energy is -356 kJ/mol of formula units.

Record 2
Material: RbScGeSe4
Method: DFT, PBE
State: optimized geometry

It has space group P2_1/m (No. 11), with a = 6.574 Å, b = 7.072 Å, c = 9.465 Å, α = 90.00°, β = 108.99° and γ = 90.00°. The distinct sites, in fractional coordinates, are Rb at (0.243, 0.250, 0.052), Sc at (0.216, 0.250, 0.548), Ge at (0.231, 0.750, 0.345), Se at (0.020, 0.507, 0.692), Se at (0.438, 0.750, 0.184) and Se at (0.479, 0.750, 0.586).

Its uncorrected formation energy is -1.01 eV per atom.

Record 3
Material: PuPaNb
Method: DFT, PBE
State: optimized geometry

It has space group I4mm (No. 107), with a = 3.522 Å, b = 3.522 Å, c = 10.418 Å, α = 90.00°, β = 90.00° and γ = 90.00°. The distinct sites, in fractional coordinates, are Pu at (0.000, 0.000, 0.000), Pa at (0.000, 0.000, 0.658) and Nb at (0.000, 0.000, 0.328).

The value obtained for the formation energy is 38 kJ/mol of formula units.

Record 4
Material: SrLa3Ir
Method: DFT, PBE
State: optimized geometry

It has space group I-4m2 (No. 119), with a = 6.319 Å, b = 6.319 Å, c = 19.660 Å, α = 90.00°, β = 90.00° and γ = 90.00°. The distinct sites, in fractional coordinates, are Sr at (0.000, 0.000, 0.203), La at (0.000, 0.253, 0.375), La at (0.000, 0.500, 0.531), Ir at (0.000, 0.000, 0.500) and Ir at (0.000, 0.500, 0.250).

The value obtained for the formation energy is -8 kJ/mol of formula units.

| no. | VASP energy (eV per atom) |
| --- | --- |
| 1 | -5.899 |
| 2 | -4.705 |
| 3 | -11.167 |
| 4 | -5.081 |